{
  "formula": "Ir2PtCl",
  "functional": "PBE",
  "state": "optimized geometry",
  "lattice": [[4.5172, 0.0106, 1.2109], [3.6317, 2.6862, 1.2109], [2.8754, 0.9516, 7.5219]],
  "species": ["Ir", "Ir", "Pt", "Cl"],
  "fractional_positions": [[0.9340, 0.9340, 0.9139], [0.5660, 0.5660, 0.5861], [0.7500, 0.7500, 0.7500], [0.2500, 0.2500, 0.2500]],
  "volume_a3_per_cell": 80.6,
  "raw_formation_energy_kcal_per_mol_atoms": 10.87,
  "magnetic_moment_mub_per_fu": 0.00,
  "polymorph_energy_ev_per_atom": 0.129
}